1.
This record from Alexandria describes CsIn4Cl5 after structural relaxation. The functional is PBE-GGA.

The structure in extended XYZ format:
```
10
Lattice="7.717 -2.328 0.000 7.717 2.328 0.000 -5.596 0.000 9.924" Properties=species:S:1:pos:R:3 pbc="T T T"
Cs 0.000 0.000 0.000
In -1.413 0.000 7.869
In 2.818 0.000 5.868
In 7.021 0.000 4.056
In 11.251 0.000 2.055
Cl -2.798 0.000 4.962
Cl 1.388 0.000 3.181
Cl 5.369 0.000 1.038
Cl 4.469 0.000 8.886
Cl 8.451 0.000 6.744
```

Calculated values
Total magnetization = 0.00 μB/atom
Uncorrected energy = -31.281 eV per formula unit
Energy relative to the elements, uncorrected = -1.024 eV/atom

---

2.
This record from Alexandria describes Cs2In2Cl after structural relaxation. The functional is PBE-GGA.

The structure in extended XYZ format:
```
5
Lattice="-2.165 2.165 11.105 2.165 -2.165 11.105 2.165 2.165 -11.105" Properties=species:S:1:pos:R:3 pbc="T T T"
Cs 0.000 0.000 2.012
Cs 0.000 0.000 20.197
In 2.165 0.000 5.552
In 0.000 2.165 5.552
Cl 0.000 0.000 11.105
```

Calculated values
Total magnetization = 0.00 μB/atom
Uncorrected energy = -12.852 eV per formula unit
Energy relative to the elements, uncorrected = -0.764 eV/atom

---

3.
This record from Alexandria describes CsIn3Cl4 after structural relaxation. The functional is PBE-GGA.

The structure in extended XYZ format:
```
8
Lattice="6.600 -4.666 0.000 6.600 4.666 0.000 -0.019 0.000 4.686" Properties=species:S:1:pos:R:3 pbc="T T T"
Cs 0.000 0.000 0.000
In 3.291 2.333 2.343
In 3.291 -2.333 2.343
In 6.600 0.000 0.000
Cl 3.362 0.000 4.684
Cl 6.591 2.202 2.343
Cl 6.591 -2.202 2.343
Cl 9.819 0.000 0.002
```

Calculated values
Total magnetization = 0.00 μB/atom
Uncorrected energy = -25.047 eV per formula unit
Energy relative to the elements, uncorrected = -1.074 eV/atom

---

4.
This record from Alexandria describes CsIn6Cl8 after structural relaxation. The functional is PBE-GGA.

The structure in extended XYZ format:
```
15
Lattice="5.835 3.369 4.726 -5.835 3.369 4.726 0.000 -6.738 4.726" Properties=species:S:1:pos:R:3 pbc="T T T"
Cs 0.000 0.000 0.000
In -0.666 -1.945 5.648
In -1.351 1.549 5.648
In -2.017 -0.396 8.529
In 2.017 0.396 5.648
In 1.351 -1.549 8.529
In 0.666 1.945 8.529
Cl -3.795 0.288 5.340
Cl 0.000 0.000 3.557
Cl -2.147 -3.143 8.837
Cl 1.649 -3.431 5.340
Cl -1.649 3.430 8.837
Cl 2.147 3.143 5.340
Cl 0.000 0.000 10.620
Cl 3.795 -0.288 8.837
```

Calculated values
Total magnetization = 0.00 μB/atom
Uncorrected energy = -46.218 eV per formula unit
Energy relative to the elements, uncorrected = -0.944 eV/atom